(1)
# YAg4Sb

A relaxed YAg4Sb crystal (PBE, Alexandria).

Unit cell a=5.659 b=5.659 c=5.659 alpha=60.00 beta=60.00 gamma=60.00
Atoms (fractional coordinates):
Y: 0.000 0.000 0.000
Ag: 0.125 0.625 0.625
Ag: 0.625 0.125 0.625
Ag: 0.625 0.625 0.125
Ag: 0.625 0.625 0.625
Sb: 0.250 0.250 0.250

Computed properties:
**Space-group type**: F-43m
**Formation energy (no corrections)**: -176 meV/atom



(2)
# K2NiPb

A relaxed K2NiPb crystal (PBE, Alexandria).

Unit cell a=6.663 b=6.663 c=6.663 alpha=143.69 beta=126.18 gamma=66.66
Atoms (fractional coordinates):
K: 0.000 0.000 0.000
K: 0.689 0.189 0.500
Ni: 0.269 0.769 0.500
Pb: 0.397 0.397 0.000

Computed properties:
**Space-group type**: Imm2
**Formation energy**: 0.168 eV per atom



(3)
# Zr2ZnMoH

A relaxed Zr2ZnMoH crystal (PBE, Alexandria).

Unit cell a=4.565 b=4.565 c=3.722 alpha=90.00 beta=90.00 gamma=90.00
Atoms (fractional coordinates):
Zr: 0.000 0.500 0.000
Zr: 0.500 0.000 0.000
Zn: 0.000 0.000 0.500
Mo: 0.500 0.500 0.500
H: 0.500 0.500 0.000

Computed properties:
**Space-group type**: P4/mmm
**Raw total energy**: -33.6 eV per cell



(4)
# TmGaNi

A relaxed TmGaNi crystal (PBE, Alexandria).

Unit cell a=6.753 b=4.253 c=7.310 alpha=90.00 beta=90.00 gamma=90.00
Atoms (fractional coordinates):
Tm: 0.018 0.250 0.195
Tm: 0.482 0.750 0.695
Tm: 0.518 0.250 0.305
Tm: 0.982 0.750 0.805
Ga: 0.174 0.250 0.576
Ga: 0.326 0.750 0.076
Ga: 0.674 0.250 0.924
Ga: 0.826 0.750 0.424
Ni: 0.214 0.750 0.402
Ni: 0.286 0.250 0.902
Ni: 0.714 0.750 0.098
Ni: 0.786 0.250 0.598

Computed properties:
**Space-group type**: Pnma
**Formation energy**: -0.664 eV per atom